# 1
Density functional theory data (PBE) for a relaxed structure of CdSiAsSe2.

Lattice parameters (Å, degrees): 4.8458 4.8458 4.9311 90.00 90.00 90.00
Last column: nearest neighbours and their distance in Å.
Space group P4/mmm (No. 123)
Symmetry-distinct sites (fractional):
Cd1 0.0000 0.0000 0.0000 [1 per cell]  4 As 3.43, 8 Se 3.46
Si1 0.5000 0.5000 0.5000 [1 per cell]  4 Se 2.42, 2 As 2.47
As1 0.5000 0.5000 0.0000 [1 per cell]  2 Si 2.47
Se1 0.0000 0.5000 0.5000 [2 per cell]  2 Si 2.42

Summary:
- Fermi-level density of states: 3.83 states/eV/cell
- E_form (uncorrected): 0.33 eV per atom
- Calculated density: 5.4 Mg/m³

=====

# 2
Density functional theory data (PBE) for a relaxed structure of Nd3CdC.

Lattice parameters (Å, degrees): 10.7232 14.9778 6.5942 90.00 90.00 90.00
Last column: nearest neighbours and their distance in Å.
Space group Cmce (No. 64)
Symmetry-distinct sites (fractional):
Nd1 0.0000 0.0442 0.2504 [8 per cell]  1 C 2.41
Nd2 0.0000 0.2497 0.9996 [8 per cell]  2 C 2.59
Nd3 0.2500 0.1072 0.7500 [8 per cell]  2 C 2.68
Cd1 0.2500 0.1648 0.2500 [8 per cell]  9 Nd 3.23-3.41
C1 0.0000 0.1169 0.7490 [8 per cell]  5 Nd 2.41-2.68

Summary:
- Fermi-level density of states: 26.13 states/eV/cell
- Formation enthalpy at 0 K: -0.040 eV per atom
- Calculated density: 7.0 Mg/m³

=====

# 3
Density functional theory data (PBE) for a relaxed structure of La2SiHgMo.

Lattice parameters (Å, degrees): 5.6370 5.6370 4.7041 90.00 90.00 90.00
Last column: nearest neighbours and their distance in Å.
Space group P4/mmm (No. 123)
Symmetry-distinct sites (fractional):
La1 0.0000 0.5000 0.0000 [2 per cell]  2 Si 2.82
Si1 0.0000 0.0000 0.0000 [1 per cell]  2 Hg 2.35
Hg1 0.0000 0.0000 0.5000 [1 per cell]  2 Si 2.35
Mo1 0.5000 0.5000 0.5000 [1 per cell]  8 La 3.67, 4 Hg 3.99

Summary:
- Fermi-level density of states: 8.64 states/eV/cell
- E_form (uncorrected): 0.80 eV per atom
- Calculated density: 6.7 Mg/m³

=====

# 4
Density functional theory data (PBE) for a relaxed structure of Tb3P2Rh9Au.

Lattice parameters (Å, degrees): 6.0315 6.0315 9.3354 90.00 90.00 120.00
Last column: nearest neighbours and their distance in Å.
Space group P-3m1 (No. 164)
Symmetry-distinct sites (fractional):
Tb1 0.0000 0.0000 0.0000 [1 per cell]  12 Rh 2.92-3.02
Tb2 0.3333 0.6667 0.7152 [2 per cell]  9 Rh 3.03-3.18
P1 0.3333 0.6667 0.1600 [2 per cell]  6 Rh 2.16-2.29
Rh1 0.0000 0.5000 0.0000 [3 per cell]  2 P 2.29
Rh2 0.1486 0.2971 0.2648 [6 per cell]  1 P 2.16
Au1 0.0000 0.0000 0.5000 [1 per cell]  6 Rh 2.69

Summary:
- Fermi-level density of states: 14.42 states/eV/cell
- Formation enthalpy at 0 K: -0.537 eV per atom
- Calculated density: 9.4 Mg/m³

=====

# 5
Density functional theory data (PBE) for a relaxed structure of ZnCd.

Lattice parameters (Å, degrees): 5.3576 5.3576 6.0661 90.00 90.00 90.00
Last column: nearest neighbours and their distance in Å.
Space group P4_2/mnm (No. 136)
Symmetry-distinct sites (fractional):
Zn1 0.1800 0.1800 0.0000 [4 per cell]  6 Cd 2.72-3.03, 1 Zn 2.73
Cd1 0.1895 0.1895 0.5000 [4 per cell]  6 Zn 2.72-3.03, 1 Cd 2.87

Summary:
- Fermi-level density of states: 2.23 states/eV/cell
- Formation enthalpy at 0 K: 0.180 eV per atom
- Calculated density: 6.8 Mg/m³

=====

# 6
Density functional theory data (PBE) for a relaxed structure of Zr2MnAs.

Lattice parameters (Å, degrees): 3.4717 3.4717 6.0200 90.00 90.00 90.00
Last column: nearest neighbours and their distance in Å.
Space group P4/mmm (No. 123)
Symmetry-distinct sites (fractional):
Zr1 0.0000 0.0000 0.2502 [2 per cell]  4 As 2.88, 4 Mn 2.88, 2 Zr 3.01
Mn1 0.5000 0.5000 0.0000 [1 per cell]  8 Zr 2.88, 2 As 3.01
As1 0.5000 0.5000 0.5000 [1 per cell]  8 Zr 2.88, 2 Mn 3.01

Summary:
- Fermi-level density of states: 3.26 states/eV/cell
- Formation enthalpy at 0 K: -0.417 eV per atom
- Calculated density: 7.1 Mg/m³

=====

# 7
Density functional theory data (PBE) for a relaxed structure of GeBi2Se.

Lattice parameters (Å, degrees): 7.4211 7.4211 7.4211 90.00 90.00 90.00
Last column: nearest neighbours and their distance in Å.
Space group Fm-3m (No. 225)
Symmetry-distinct sites (fractional):
Ge1 0.0000 0.0000 0.0000 [4 per cell]  8 Bi 3.21
Bi1 0.2500 0.2500 0.2500 [8 per cell]  4 Ge 3.21, 4 Se 3.21
Se1 0.0000 0.0000 0.5000 [4 per cell]  8 Bi 3.21

Summary:
- Fermi-level density of states: 8.41 states/eV/cell
- E_form (uncorrected): 0.16 eV per atom
- Calculated density: 9.3 Mg/m³

=====

# 8
Density functional theory data (PBE) for a relaxed structure of LiHo3Np3S8.

Lattice parameters (Å, degrees): 7.7566 7.7566 18.9788 90.00 90.00 120.00
Last column: nearest neighbours and their distance in Å.
Space group R-3m (No. 166, hexagonal axes)
Symmetry-distinct sites (fractional):
Li1 0.0000 0.0000 0.0000 [3 per cell]  6 S 2.70
Ho1 0.0000 0.5000 0.5000 [9 per cell]  6 S 2.73-2.74
Np1 0.0000 0.5000 0.0000 [9 per cell]  6 S 2.75
S1 0.0000 0.0000 0.2492 [6 per cell]  3 Ho 2.73, 3 Np 2.75
S2 0.0061 0.5030 0.7489 [18 per cell]  1 Li 2.70, 2 Ho 2.74, 2 Np 2.75

Summary:
- Fermi-level density of states: 95.98 states/eV/cell
- E_form (uncorrected): -1.66 eV per atom
- Calculated density: 7.4 Mg/m³